Density functional theory data (SCAN) for a PBEsol-optimized structure of ZrTa2Rh.

The structure in POSCAR format:
```
ZrTa2Rh
1.0
3.8756 0.0000 0.0000
0.0000 3.8756 0.0000
0.0000 0.0000 9.3745
Zr Ta Rh
2 4 2
Direct
0.0000 0.0000 0.0000
0.5000 0.5000 0.5000
0.0000 0.5000 0.2500
0.0000 0.5000 0.7500
0.5000 0.0000 0.2500
0.5000 0.0000 0.7500
0.0000 0.0000 0.5000
0.5000 0.5000 0.0000
```

Computed properties:
* space-group type: No. 139
* energy of formation: -247.7 meV/atom